Mg2MnH24Cl6O12 | GGA+U | optimized geometry

## Properties
Space group = P31c (159)
Theoretical density = 1.77 g/cm3
Total energy = -216.188 eV/f.u.

The structure in POSCAR format:
```
Mg2MnH24Cl6O12
1.0
9.9768 0.0000 0.0000
-4.9884 8.6402 0.0000
0.0000 0.0000 11.5614
Mg Mn H Cl O
4 2 48 12 24
direct
0.0000 0.0000 0.0000
0.0000 0.0000 0.5000
0.3333 0.6667 0.1033
0.6667 0.3333 0.6033
0.3333 0.6667 0.6016
0.6667 0.3333 0.1016
0.0205 0.8124 0.3283
0.0247 0.2289 0.6397
0.0407 0.5613 0.1990
0.0821 0.6117 0.9894
0.1270 0.2942 0.4115
0.1339 0.2958 0.0714
0.1416 0.5365 0.2898
0.1619 0.8661 0.0714
0.1672 0.8730 0.4115
0.1876 0.2081 0.3283
0.2043 0.9753 0.6397
0.2081 0.1876 0.8283
0.2090 0.7430 0.9138
0.2289 0.0247 0.1397
0.2570 0.4660 0.9138
0.2942 0.1270 0.9115
0.2958 0.1339 0.5714
0.3883 0.4704 0.9894
0.3949 0.8584 0.2898
0.4387 0.4795 0.1990
0.4635 0.6051 0.2898
0.4660 0.2570 0.4138
0.4704 0.3883 0.4894
0.4795 0.4387 0.6990
0.5205 0.9593 0.1990
0.5296 0.9179 0.9894
0.5340 0.7910 0.9138
0.5365 0.1416 0.7898
0.5613 0.0407 0.6990
0.6051 0.4635 0.7898
0.6117 0.0821 0.4894
0.7042 0.8381 0.0714
0.7058 0.8328 0.4115
0.7430 0.2090 0.4138
0.7711 0.7957 0.6397
0.7910 0.5340 0.4138
0.7919 0.9795 0.3283
0.7957 0.7711 0.1397
0.8124 0.0205 0.8283
0.8328 0.7058 0.9115
0.8381 0.7042 0.5714
0.8584 0.3949 0.7898
0.8661 0.1619 0.5714
0.8730 0.1672 0.9115
0.9179 0.5296 0.4894
0.9593 0.5205 0.6990
0.9753 0.2043 0.1397
0.9795 0.7919 0.8283
0.1055 0.4929 0.4671
0.1704 0.7484 0.7263
0.2516 0.4220 0.7263
0.3873 0.8945 0.4671
0.4220 0.2516 0.2263
0.4929 0.1055 0.9671
0.5071 0.6127 0.4671
0.5780 0.8296 0.7263
0.6127 0.5071 0.9671
0.7484 0.1704 0.2263
0.8296 0.5780 0.2263
0.8945 0.3873 0.9671
0.0591 0.1937 0.1038
0.0721 0.8770 0.3958
0.1230 0.1951 0.3958
0.1347 0.9409 0.1038
0.1375 0.5575 0.2064
0.1844 0.7090 0.9956
0.1937 0.0591 0.6038
0.1951 0.1230 0.8958
0.2910 0.4754 0.9956
0.4200 0.8625 0.2064
0.4425 0.5800 0.2064
0.4754 0.2910 0.4956
0.5246 0.8156 0.9956
0.5575 0.1375 0.7064
0.5800 0.4425 0.7064
0.7090 0.1844 0.4956
0.8049 0.9279 0.3958
0.8063 0.8653 0.1038
0.8156 0.5246 0.4956
0.8625 0.4200 0.7064
0.8653 0.8063 0.6038
0.8770 0.0721 0.8958
0.9279 0.8049 0.8958
0.9409 0.1347 0.6038
```